1.
BiRhS2: optimized geometry, GGA-PBE.

Structure (extended XYZ):
```
16
Lattice="7.2068 0.0000 0.0000 0.0000 6.6352 0.0000 -1.4957 0.0000 7.4950" Properties=species:S:1:pos:R:3 pbc="T T T"
Bi 0.1660 0.3934 2.2525
Bi -0.5818 2.9242 6.0000
Bi 6.2929 3.7110 1.4950
Bi 5.5451 6.2418 5.2425
Rh -0.0763 0.5081 7.3328
Rh 0.6715 2.8095 3.5853
Rh 5.0396 3.8257 3.9097
Rh 5.7874 6.1271 0.1622
S 1.5320 4.9305 3.6676
S 0.7842 5.0223 7.4151
S 2.2989 1.5487 4.6221
S 3.0467 1.7689 0.8746
S 2.6644 4.8663 6.6204
S 3.4122 5.0865 2.8729
S 4.9269 1.6129 0.0799
S 4.1790 1.7047 3.8274
```

Calculated values
Crystal system: monoclinic
Space-group type: P2_1/c, No. 14

2.
BiRh2S3: optimized geometry, GGA-PBE.

Structure (extended XYZ):
```
12
Lattice="3.5029 2.0224 5.6152 -3.5029 2.0224 5.6152 0.0000 -4.0449 5.6152" Properties=species:S:1:pos:R:3 pbc="T T T"
Bi 0.0000 0.0000 3.6620
Bi 0.0000 0.0000 13.1835
Rh 0.0000 0.0000 0.0000
Rh -1.7515 -1.0112 5.6152
Rh -1.7515 1.0112 11.2304
Rh 0.0000 2.0224 5.6152
S 0.0000 -2.0339 6.8613
S -1.7614 1.0170 6.8613
S -1.7614 -1.0170 9.9843
S 1.7614 1.0170 6.8613
S 1.7614 -1.0170 9.9843
S 0.0000 2.0339 9.9843
```

Calculated values
Crystal system: trigonal
Space-group type: R-3m, No. 166

E_tot values (in eV/atom) by entry order: -4.892, -5.482.